Density functional theory data (PBE with a Hubbard U) for Li3Mo5O12 after structural relaxation.

Results
Size of the total moment in μB/atom: 0.45
V in Å³ per cell: 1068.2
Density in Mg/m³: 4.3
Uncorrected energy in Ry/atom: -0.4909

```
Li3Mo5O12
1.0
11.154 0.000 0.000
-3.718 10.516 0.000
-3.718 -5.258 9.107
Li Mo O
12 20 48
direct
0.750 0.375 0.125 Li
0.875 0.750 0.125 Li
0.375 0.750 0.625 Li
0.250 0.125 0.375 Li
0.875 0.125 0.250 Li
0.375 0.625 0.250 Li
0.625 0.375 0.750 Li
0.125 0.875 0.750 Li
0.750 0.875 0.625 Li
0.625 0.250 0.375 Li
0.125 0.250 0.875 Li
0.250 0.625 0.875 Li
0.125 0.375 0.250 Mo
0.000 0.500 0.000 Mo
0.000 0.000 0.000 Mo
0.375 0.250 0.125 Mo
0.500 0.000 0.500 Mo
0.500 0.500 0.000 Mo
0.125 0.750 0.375 Mo
0.750 0.125 0.875 Mo
0.750 0.625 0.375 Mo
0.375 0.125 0.750 Mo
0.625 0.875 0.250 Mo
0.500 0.500 0.500 Mo
0.500 0.000 0.000 Mo
0.000 0.000 0.500 Mo
0.250 0.375 0.625 Mo
0.250 0.875 0.125 Mo
0.000 0.500 0.500 Mo
0.875 0.250 0.625 Mo
0.625 0.750 0.875 Mo
0.875 0.625 0.750 Mo
0.709 0.121 0.024 O
0.314 0.524 0.403 O
0.976 0.379 0.291 O
0.524 0.209 0.121 O
0.588 0.709 0.686 O
0.976 0.597 0.186 O
0.314 0.791 0.412 O
0.097 0.912 0.121 O
0.597 0.976 0.686 O
0.709 0.588 0.186 O
0.791 0.476 0.379 O
0.814 0.903 0.024 O
0.121 0.709 0.524 O
0.379 0.403 0.088 O
0.088 0.903 0.379 O
0.412 0.121 0.597 O
0.088 0.186 0.209 O
0.476 0.686 0.097 O
0.814 0.912 0.291 O
0.121 0.412 0.097 O
0.379 0.976 0.791 O
0.597 0.621 0.412 O
0.903 0.814 0.524 O
0.791 0.314 0.912 O
0.403 0.379 0.588 O
0.097 0.186 0.476 O
0.209 0.686 0.088 O
0.186 0.088 0.709 O
0.621 0.024 0.209 O
0.879 0.588 0.903 O
0.524 0.314 0.903 O
0.588 0.879 0.403 O
0.912 0.814 0.791 O
0.912 0.097 0.621 O
0.879 0.291 0.476 O
0.186 0.097 0.976 O
0.621 0.597 0.912 O
0.403 0.024 0.314 O
0.291 0.412 0.814 O
0.209 0.524 0.621 O
0.903 0.088 0.879 O
0.686 0.209 0.588 O
0.476 0.791 0.879 O
0.024 0.403 0.814 O
0.412 0.291 0.314 O
0.024 0.621 0.709 O
0.686 0.476 0.597 O
0.291 0.879 0.976 O
```